Record 1
ReSb2: optimized geometry, PBE.

Cell lengths 6.0146, 6.0146, 7.5480 Å; angles 73.50, 73.50, 32.24 degrees
Positions (direct):
Re  0.3584  0.3584  0.0325
Re  0.6416  0.6416  0.9675
Sb  0.0241  0.0241  0.7711
Sb  0.7020  0.7020  0.2913
Sb  0.9759  0.9759  0.2289
Sb  0.2980  0.2980  0.7087

Output
Energy relative to the elements, uncorrected   0.294 eV/atom
SG   C2/m
M_tot   0.00 μB/cell
Total DFT energy (no corrections)   -6.60 eV per atom

=====

Record 2
ReSb2: optimized geometry, PBE.

Cell lengths 4.5870, 4.5870, 4.5870 Å; angles 60.00, 60.00, 60.00 degrees
Positions (direct):
Re  0.0000  0.0000  0.0000
Sb  0.7500  0.7500  0.7500
Sb  0.2500  0.2500  0.2500

Output
Energy relative to the elements, uncorrected   0.424 eV/atom
SG   Fm-3m
M_tot   0.00 μB/cell
Total DFT energy (no corrections)   -6.47 eV per atom

=====

Number 1: volume 23.2 A^3/atom. Number 2: volume 22.7 A^3/atom.